Material: Sc2ZnPd
Method: DFT, PBE
State: optimized geometry

Computed properties:
- crystal system = cubic
- formation enthalpy at 0 K (meV per atom) = -492.3

a b c (Å): 4.611 4.611 4.611
angles (deg): 60.00 60.00 60.00
Atoms (fractional coordinates):
Sc (0.000, 0.000, 0.000)
Sc (0.250, 0.250, 0.250)
Zn (0.500, 0.500, 0.500)
Pd (0.750, 0.750, 0.750)

---

Material: HfTl2TeBr6
Method: DFT, PBE
State: optimized geometry

Computed properties:
- crystal system = tetragonal
- total energy (Ry/atom) = -0.223

a b c (Å): 4.758 4.758 14.476
angles (deg): 90.00 90.00 90.00
Atoms (fractional coordinates):
Hf (0.000, 0.000, 0.000)
Tl (0.500, 0.500, 0.283)
Tl (0.500, 0.500, 0.717)
Te (0.000, 0.000, 0.500)
Br (0.000, 0.500, 0.134)
Br (0.000, 0.500, 0.866)
Br (0.500, 0.000, 0.134)
Br (0.500, 0.000, 0.866)
Br (0.500, 0.500, 0.000)
Br (0.500, 0.500, 0.500)